A plane-wave DFT calculation with PBE was carried out for a relaxed Er2Ga2Ag3 crystal.

The value obtained for the total moment is 0.00 Bohr magnetons per cell. Its crystal system is orthorhombic. Its calculated formation energy is -0.282 eV/atom. As for the final energy: -25.7 eV per formula unit. For the relative energy among the computed polymorphs, the calculation gives 55 meV/atom. The value obtained for the density of states at the Fermi level is 4.318 states/eV/f.u. The calculation puts the volume at 21.29 A^3/atom.

abc: 4.2337 7.1328 10.0950
angles: 90.00 102.10 90.00
Closest atoms and distances in Å follow each position.
Fractional positions:
Ga: 0.3108 0.4464 0.6216  4 Ag 2.60-2.78, 1 Ga 2.80
Ga: 0.3108 0.0536 0.6216  4 Ag 2.60-2.78, 1 Ga 2.80
Ag: 0.5637 0.0590 0.1275  1 Ga 2.60, 2 Ag 2.65-2.72
Er: 0.1588 0.2500 0.3175  6 Ga 3.09-3.31, 6 Ag 3.14-3.16
Er: 0.0516 0.7500 0.1033  9 Ag 3.07-3.39
Ag: 0.4363 0.5590 0.8725  1 Ga 2.60, 2 Ag 2.65-2.72
Ga: 0.6892 0.5536 0.3784  4 Ag 2.60-2.78, 1 Ga 2.80
Ag: 0.4363 0.9410 0.8725  1 Ga 2.60, 2 Ag 2.65-2.72
Er: 0.8412 0.7500 0.6825  6 Ga 3.09-3.31, 6 Ag 3.14-3.16
Ag: 0.7778 0.2500 0.5555  6 Ga 2.62-2.78
Er: 0.9484 0.2500 0.8967  9 Ag 3.07-3.39
Ga: 0.6892 0.9464 0.3784  4 Ag 2.60-2.78, 1 Ga 2.80
Ag: 0.2222 0.7500 0.4445  6 Ga 2.62-2.78
Ag: 0.5637 0.4410 0.1275  1 Ga 2.60, 2 Ag 2.65-2.72



A plane-wave DFT calculation with PBE was carried out for a relaxed K4Tb3CrSe8 crystal.

The value obtained for the total moment is 3.00 Bohr magnetons per cell. Its crystal system is trigonal. As for the final energy: -79.6 eV per formula unit. The calculation puts the uncorrected formation energy at -1488 meV per atom. The calculation puts the volume at 28.46 A^3/atom.

abc: 8.2792 9.0378 8.2794
angles: 117.27 120.00 90.00
Closest atoms and distances in Å follow each position.
Fractional positions:
K: 0.0000 0.0000 0.0000  6 Se 3.27-3.28
Tb: 0.5000 0.5000 0.5000  6 Se 2.88-2.90
K: 0.5000 0.0000 0.5000  6 Se 3.27-3.28
K: 0.0000 0.0000 0.5000  6 Se 3.27-3.28
Cr: 0.0000 0.5000 0.0000  6 Se 2.69
Se: 0.7790 0.3034 0.5580  1 Cr 2.69, 2 Tb 2.90
Se: 0.7364 0.7090 0.4727  3 Tb 2.88
Se: 0.2453 0.3034 0.0243  1 Cr 2.69, 2 Tb 2.90
Se: 0.2636 0.2910 0.5273  3 Tb 2.88
Se: 0.7790 0.3034 0.0243  1 Cr 2.69, 2 Tb 2.90
K: 0.5000 0.0000 0.0000  6 Se 3.45
Tb: 0.5000 0.5000 0.0000  6 Se 2.88-2.90
Se: 0.7547 0.6966 0.9757  1 Cr 2.69, 2 Tb 2.90
Se: 0.2210 0.6966 0.4420  1 Cr 2.69, 2 Tb 2.90
Se: 0.2210 0.6966 0.9757  1 Cr 2.69, 2 Tb 2.90
Tb: 0.0000 0.5000 0.5000  6 Se 2.88-2.90



A plane-wave DFT calculation with PBE was carried out for a relaxed CsUTiTe5 crystal.

The value obtained for the total moment is 3.83 Bohr magnetons per cell. Its crystal system is orthorhombic. As for the final energy: -42.2 eV per formula unit. The value obtained for the density of states at the Fermi level is 4.304 states/eV/f.u. The calculation puts the uncorrected formation energy at -805 meV per atom. The calculation puts the volume at 34.84 A^3/atom.

abc: 6.1865 8.7288 10.3221
angles: 90.00 90.00 90.00
Closest atoms and distances in Å follow each position.
Fractional positions:
Cs: 0.2500 0.5000 0.7797  12 Te 4.00-4.36
Te: 0.2500 0.7640 0.1087  2 Ti 2.81, 1 U 3.06
Cs: 0.7500 0.5000 0.2203  12 Te 4.00-4.36
Te: 0.2500 0.2360 0.1087  2 Ti 2.81, 1 U 3.06
Te: 0.5000 0.7639 0.5000  2 Te 3.09, 2 U 3.13
Ti: 0.0000 0.0000 0.0000  6 Te 2.80-2.81, 2 Ti 3.09
U: 0.2500 0.0000 0.3274  8 Te 3.06-3.26
Te: 0.2500 0.0000 0.7735  2 Ti 2.80
U: 0.7500 0.0000 0.6726  8 Te 3.06-3.26
Te: 0.0000 0.2361 0.5000  2 Te 3.09, 2 U 3.13
Te: 0.7500 0.7640 0.8913  2 Ti 2.81, 1 U 3.06
Te: 0.5000 0.2361 0.5000  2 Te 3.09, 2 U 3.13
Te: 0.0000 0.7639 0.5000  2 Te 3.09, 2 U 3.13
Te: 0.7500 0.0000 0.2265  2 Ti 2.80
Te: 0.7500 0.2360 0.8913  2 Ti 2.81, 1 U 3.06
Ti: 0.5000 0.0000 0.0000  6 Te 2.80-2.81, 2 Ti 3.09



A plane-wave DFT calculation with PBE was carried out for a relaxed Pm6Ir3Pb crystal.

The value obtained for the total moment is 0.00 Bohr magnetons per cell. Its crystal system is monoclinic. Its calculated formation energy is -0.581 eV/atom. As for the final energy: -64.6 eV per formula unit. The value obtained for the density of states at the Fermi level is 6.275 states/eV/f.u. The calculation puts the volume at 29.32 A^3/atom.

abc: 4.2218 11.8871 12.2598
angles: 107.62 90.00 90.00
Closest atoms and distances in Å follow each position.
Fractional positions:
Ir: 0.2500 0.5451 0.1646  6 Pm 2.85-2.93
Ir: 0.2500 0.3198 0.4967  7 Pm 2.86-3.11
Pm: 0.7500 0.7062 0.2658  3 Ir 2.87-3.02
Pm: 0.2500 0.2103 0.2348  3 Ir 2.79-3.08
Ir: 0.7500 0.1595 0.0780  6 Pm 2.79-2.89
Ir: 0.2500 0.8405 0.9220  6 Pm 2.79-2.89
Pm: 0.7500 0.9258 0.0871  3 Ir 2.81-2.89
Pm: 0.7500 0.7897 0.7652  3 Ir 2.79-3.08
Pb: 0.7500 0.0530 0.6945  8 Pm 3.30-3.49
Pb: 0.2500 0.9470 0.3055  8 Pm 3.30-3.49
Pm: 0.2500 0.6084 0.9511  4 Ir 2.87-2.93
Ir: 0.7500 0.4549 0.8354  6 Pm 2.85-2.93
Pm: 0.7500 0.4732 0.6088  4 Ir 2.85-3.11
Ir: 0.7500 0.6802 0.5033  7 Pm 2.86-3.11
Pm: 0.2500 0.5268 0.3912  4 Ir 2.85-3.11
Pm: 0.2500 0.8544 0.5338  2 Ir 2.90
Pm: 0.2500 0.0742 0.9129  3 Ir 2.81-2.89
Pm: 0.7500 0.1456 0.4662  2 Ir 2.90
Pm: 0.2500 0.2938 0.7342  3 Ir 2.87-3.02
Pm: 0.7500 0.3916 0.0489  4 Ir 2.87-2.93



A plane-wave DFT calculation with PBE was carried out for a relaxed Te3Pd7 crystal.

The value obtained for the total moment is 0.00 Bohr magnetons per cell. Its crystal system is monoclinic. As for the final energy: -48.0 eV per formula unit. The value obtained for the density of states at the Fermi level is 6.545 states/eV/f.u. The calculation puts the uncorrected formation energy at -225 meV per atom. The calculation puts the volume at 18.18 A^3/atom.

abc: 4.3830 5.6754 8.0317
angles: 108.23 105.83 90.00
Closest atoms and distances in Å follow each position.
Fractional positions:
Pd: 0.0000 0.5000 0.0000  4 Te 2.84-2.85, 8 Pd 2.97-3.00
Te: 0.1952 0.6602 0.3904  7 Pd 2.70-2.88
Pd: 0.1876 0.1467 0.3753  5 Te 2.74-2.88, 5 Pd 2.90-3.00
Pd: 0.3820 0.2152 0.7641  2 Te 2.70, 8 Pd 2.85-2.97
Pd: 0.4261 0.7426 0.8522  2 Te 2.67, 3 Pd 2.85-2.97
Pd: 0.6180 0.7848 0.2359  2 Te 2.70, 8 Pd 2.85-2.97
Te: 0.8048 0.3398 0.6096  7 Pd 2.70-2.88
Pd: 0.5739 0.2574 0.1478  2 Te 2.67, 3 Pd 2.85-2.97
Pd: 0.8124 0.8533 0.6247  5 Te 2.74-2.88, 5 Pd 2.90-3.00
Te: 0.0000 0.0000 0.0000  8 Pd 2.67-2.84



A plane-wave DFT calculation with PBE was carried out for a relaxed Eu5Er crystal.

The value obtained for the total moment is 21.83 Bohr magnetons per cell. Its crystal system is orthorhombic. Its calculated formation energy is 0.345 eV/atom. As for the final energy: -53.9 eV per formula unit. The value obtained for the density of states at the Fermi level is 7.027 states/eV/f.u. The calculation puts the volume at 39.25 A^3/atom.

abc: 6.6432 3.5865 10.0456
angles: 100.28 90.00 90.00
Closest atoms and distances in Å follow each position.
Fractional positions:
Eu: 0.5000 0.8326 0.6652  4 Eu 3.32-3.59
Eu: 0.5000 0.5000 0.0000  6 Eu 3.59-3.76, 4 Er 3.77
Eu: 0.5000 0.1674 0.3348  4 Eu 3.32-3.59
Er: 0.0000 0.0000 0.0000  2 Eu 3.32, 2 Er 3.59
Eu: 0.0000 0.8322 0.6645  1 Er 3.32, 6 Eu 3.32-3.71
Eu: 0.0000 0.1678 0.3355  1 Er 3.32, 6 Eu 3.32-3.71



A plane-wave DFT calculation with PBE was carried out for a relaxed CeThOsI crystal.

The value obtained for the total moment is 0.73 Bohr magnetons per cell. Its crystal system is trigonal. As for the final energy: -28.7 eV per formula unit. The value obtained for the density of states at the Fermi level is 6.609 states/eV/f.u. The calculation puts the uncorrected formation energy at -633 meV per atom. The calculation puts the volume at 30.73 A^3/atom.

abc: 4.1609 4.1611 8.5416
angles: 90.00 104.10 120.00
Closest atoms and distances in Å follow each position.
Fractional positions:
Ce: 0.5161 0.1560 0.6874  3 Os 2.82
Th: 0.0886 0.9422 0.0461  3 Os 2.81
I: 0.9699 0.3831 0.3680  3 Ce 3.55, 3 Th 3.57
Os: 0.3032 0.5495 0.8681  3 Th 2.81, 3 Ce 2.82



A plane-wave DFT calculation with PBE was carried out for a relaxed HfCoP3 crystal.

The value obtained for the total moment is 0.00 Bohr magnetons per cell. Its crystal system is cubic. Its calculated formation energy is 0.250 eV/atom. As for the final energy: -32.0 eV per formula unit. For the relative energy among the computed polymorphs, the calculation gives 0 meV/atom. The value obtained for the density of states at the Fermi level is 5.412 states/eV/f.u. The calculation puts the volume at 16.51 A^3/atom.

abc: 4.3544 4.3544 4.3544
angles: 90.00 90.00 90.00
Closest atoms and distances in Å follow each position.
Fractional positions:
Hf: 0.5000 0.5000 0.5000  12 P 3.08
P: 0.0000 0.0000 0.5000  2 Co 2.18
Co: 0.0000 0.0000 0.0000  6 P 2.18
P: 0.0000 0.5000 0.0000  2 Co 2.18
P: 0.5000 0.0000 0.0000  2 Co 2.18



A plane-wave DFT calculation with PBE was carried out for a relaxed HfNbHg2N crystal.

The value obtained for the total moment is 0.00 Bohr magnetons per cell. Its crystal system is tetragonal. As for the final energy: -26.5 eV per formula unit. The value obtained for the density of states at the Fermi level is 3.761 states/eV/f.u. The calculation puts the uncorrected formation energy at 500 meV per atom. The calculation puts the volume at 18.67 A^3/atom.

abc: 4.7140 4.2014 4.7140
angles: 90.00 90.00 90.00
Closest atoms and distances in Å follow each position.
Fractional positions:
Hg: 0.5000 0.0000 0.0000  2 N 2.36
Hg: 0.0000 0.0000 0.5000  2 N 2.36
Nb: 0.5000 0.5000 0.5000  8 Hg 3.16, 4 Hf 3.33
Hf: 0.0000 0.5000 0.0000  2 N 2.10
N: 0.0000 0.0000 0.0000  2 Hf 2.10



A plane-wave DFT calculation with PBE was carried out for a relaxed NiAs2Ir crystal.

The value obtained for the total moment is 0.00 Bohr magnetons per cell. Its crystal system is tetragonal. Its calculated formation energy is 0.176 eV/atom. As for the final energy: -23.2 eV per formula unit. For the relative energy among the computed polymorphs, the calculation gives 401 meV/atom. The value obtained for the density of states at the Fermi level is 1.959 states/eV/f.u. The calculation puts the volume at 14.77 A^3/atom.

abc: 4.9640 4.9640 4.9640
angles: 135.58 135.58 64.63
Closest atoms and distances in Å follow each position.
Fractional positions:
As: 0.0000 0.0000 0.0000  4 Ir 2.65, 4 Ni 2.81, 4 As 2.81
As: 0.2500 0.7500 0.5000  4 Ni 2.65, 4 As 2.81, 4 Ir 2.81
Ni: 0.7500 0.2500 0.5000  8 As 2.65-2.81, 4 Ir 2.81
Ir: 0.5000 0.5000 0.0000  8 As 2.65-2.81, 4 Ni 2.81



A plane-wave DFT calculation with PBE was carried out for a relaxed DyCr2Si2C crystal.

The value obtained for the total moment is 1.41 Bohr magnetons per cell. Its crystal system is tetragonal. As for the final energy: -46.7 eV per formula unit. The value obtained for the density of states at the Fermi level is 4.147 states/eV/f.u. The calculation puts the uncorrected formation energy at -472 meV per atom. The calculation puts the volume at 13.71 A^3/atom.

abc: 3.9601 3.9601 5.2456
angles: 90.00 90.00 90.00
Closest atoms and distances in Å follow each position.
Fractional positions:
Cr: 0.5000 0.0000 0.0000  2 C 1.98
C: 0.0000 0.0000 0.0000  4 Cr 1.98
Si: 0.5000 0.5000 0.7285  1 Si 2.40, 4 Cr 2.44
Si: 0.5000 0.5000 0.2715  1 Si 2.40, 4 Cr 2.44
Cr: 0.0000 0.5000 0.0000  2 C 1.98
Dy: 0.0000 0.0000 0.5000  2 C 2.62



A plane-wave DFT calculation with PBE was carried out for a relaxed Nb6Al3B crystal.

The value obtained for the total moment is 0.00 Bohr magnetons per cell. Its crystal system is monoclinic. Its calculated formation energy is -0.004 eV/atom. As for the final energy: -78.4 eV per formula unit. The value obtained for the density of states at the Fermi level is 7.027 states/eV/f.u. The calculation puts the volume at 17.42 A^3/atom.

abc: 7.9540 6.9549 6.9549
angles: 46.08 44.30 44.30
Closest atoms and distances in Å follow each position.
Fractional positions:
Nb: 0.4056 0.6487 0.1659  1 B 2.25
Nb: 0.5944 0.8341 0.3513  1 B 2.25
Nb: 0.4056 0.1659 0.6487  1 B 2.25
Al: 0.0000 0.0000 0.0000  6 Nb 2.71-2.80, 4 Al 3.01
Al: 0.8879 0.6450 0.6450  1 Al 2.58, 3 Nb 2.71-2.82
Nb: 0.0718 0.7553 0.7553  1 B 2.23
B: 0.5000 0.5000 0.5000  6 Nb 2.23-2.25
Nb: 0.9282 0.2447 0.2447  1 B 2.23
Al: 0.1121 0.3550 0.3550  1 Al 2.58, 3 Nb 2.71-2.82
Nb: 0.5944 0.3513 0.8341  1 B 2.25



final energy of number 2 (K4Tb3CrSe8)?
-79.6 eV per formula unit



Which formula does entry 4 have?
Pm6Ir3Pb



What is the formula in the second record?
K4Tb3CrSe8